1.
VASP calculation (PBE) on BaHf2TeO8 after structural relaxation.

Summary:
ΔE_f (raw), eV/atom: -2.48
Crystal system: monoclinic
N(E_F), states/eV per atom: 0.00
SG: C2/m, No. 12
Final energy, eV per atom: -7.863
Calculated density, g cm⁻³: 6.64

The structure in POSCAR format:
```
BaHf2TeO8
1.0
4.0642 -3.2468 0.0000
4.0642 3.2468 0.0000
-1.6301 0.0000 7.1097
Ba Hf Te O
1 2 1 8
Direct
0.0000 0.0000 0.0000
0.4468 0.4468 0.7697
0.5532 0.5532 0.2303
0.0000 0.0000 0.5000
0.2086 0.7795 0.3066
0.2205 0.7914 0.6934
0.2390 0.2390 0.5564
0.3420 0.3420 0.9903
0.6580 0.6580 0.0097
0.7610 0.7610 0.4436
0.7795 0.2086 0.3066
0.7914 0.2205 0.6934
```

2.
VASP calculation (PBE) on LiCdSe2N after structural relaxation.

Summary:
ΔE_f (raw), eV/atom: 0.72
Crystal system: tetragonal
N(E_F), states/eV per atom: 0.71
SG: P4/mmm, No. 123
Final energy, eV per atom: -2.908
Calculated density, g cm⁻³: 5.14
Energy above the lowest structure with this stoichiometry, meV/atom: 2

The structure in POSCAR format:
```
LiCdSe2N
1.0
4.9247 0.0000 0.0000
0.0000 4.9247 0.0000
0.0000 0.0000 3.8838
Li Cd Se N
1 1 2 1
Direct
0.0000 0.0000 0.0000
0.5000 0.5000 0.5000
0.0000 0.5000 0.0000
0.5000 0.0000 0.0000
0.0000 0.0000 0.5000
```

3.
VASP calculation (PBE) on La2CrP after structural relaxation.

Summary:
Formation energy from the elements, meV per atom: 127
Crystal system: cubic
N(E_F), states/eV per atom: 1.06
SG: F-43m, No. 216
Final energy, eV per atom: -6.095
Calculated density, g cm⁻³: 6.67

The structure in POSCAR format:
```
La2CrP
1.0
0.0000 3.5542 3.5542
3.5542 0.0000 3.5542
3.5542 3.5542 0.0000
La Cr P
2 1 1
Direct
0.0000 0.0000 0.0000
0.2500 0.2500 0.2500
0.5000 0.5000 0.5000
0.7500 0.7500 0.7500
```

4.
VASP calculation (PBE) on AcTb6Pm10 after structural relaxation.

Summary:
Formation energy from the elements, meV per atom: 134
Crystal system: trigonal
N(E_F), states/eV per atom: 1.55
SG: P-31m, No. 162
Final energy, eV per atom: -4.536
Calculated density, g cm⁻³: 7.40

The structure in POSCAR format:
```
AcTb6Pm10
1.0
9.8953 0.0000 0.0000
-4.9477 8.5696 0.0000
0.0000 0.0000 6.9595
Ac Tb Pm
1 6 10
Direct
0.0000 0.0000 0.0000
0.0000 0.3733 0.8085
0.0000 0.6267 0.1915
0.3733 0.0000 0.8085
0.3733 0.3733 0.1915
0.6267 0.0000 0.1915
0.6267 0.6267 0.8085
0.0000 0.2809 0.3246
0.0000 0.7191 0.6754
0.2809 0.0000 0.3246
0.2809 0.2809 0.6754
0.3333 0.6667 0.0000
0.3333 0.6667 0.5000
0.6667 0.3333 0.0000
0.6667 0.3333 0.5000
0.7191 0.0000 0.6754
0.7191 0.7191 0.3246
```